Compound: HfSbPd5
Source: the Alexandria database
Functional: PBE
Structure: relaxed

```
HfSbPd5
1.0
3.443 -3.865 0.000
3.443 3.865 0.000
-3.231 0.000 9.032
Hf Sb Pd
2 2 10
Cartesian
1.019 3.813 6.774
2.635 -3.813 2.258
3.443 0.000 0.000
1.827 0.000 4.516
1.231 2.649 4.188
1.550 1.459 1.399
4.039 2.649 0.328
1.019 1.100 6.774
-0.066 -1.459 5.915
3.720 1.459 3.117
2.635 -1.100 2.258
-0.385 -2.649 8.704
2.105 -1.459 7.633
2.424 -2.649 4.845
```

Compound: Hf2Sb3Pd8
Source: the Alexandria database
Functional: PBE
Structure: relaxed

```
Hf2Sb3Pd8
1.0
2.714 1.567 9.688
-2.714 1.567 9.688
0.000 -3.134 9.688
Hf Sb Pd
2 3 8
Cartesian
0.000 0.000 3.477
0.000 0.000 25.587
0.000 0.000 11.321
0.000 0.000 14.532
0.000 0.000 17.743
0.000 -1.566 8.468
-1.356 0.783 8.468
0.000 0.000 6.077
-1.356 -0.783 20.596
1.356 0.783 8.468
0.000 0.000 22.988
1.356 -0.783 20.596
0.000 1.566 20.596
```

Compound: HfSb4Pd15
Source: the Alexandria database
Functional: PBE
Structure: relaxed

```
HfSb4Pd15
1.0
4.052 0.000 0.000
0.000 4.052 0.000
0.000 0.000 20.199
Hf Sb Pd
1 4 15
Cartesian
0.000 0.000 0.000
0.000 0.000 4.040
0.000 0.000 8.074
0.000 0.000 12.125
0.000 0.000 16.159
0.000 2.026 1.957
0.000 2.026 6.035
0.000 2.026 10.099
0.000 2.026 14.164
0.000 2.026 18.242
2.026 0.000 1.957
2.026 0.000 6.035
2.026 0.000 10.099
2.026 0.000 14.164
2.026 0.000 18.242
2.026 2.026 0.000
2.026 2.026 4.006
2.026 2.026 8.055
2.026 2.026 12.144
2.026 2.026 16.193
```

Compound: Hf3Sb2Pd8
Source: the Alexandria database
Functional: PBE
Structure: relaxed

```
Hf3Sb2Pd8
1.0
2.677 1.545 9.791
-2.677 1.545 9.791
0.000 -3.091 9.791
Hf Sb Pd
3 2 8
Cartesian
0.000 0.000 0.000
0.000 0.000 5.558
0.000 0.000 23.816
0.000 0.000 10.788
0.000 0.000 18.586
-1.348 -0.778 16.348
0.000 -1.557 13.025
-1.348 0.778 13.025
0.000 0.000 8.161
0.000 0.000 21.213
1.348 -0.778 16.348
0.000 1.557 16.348
1.348 0.778 13.025
```

Compound: HfSb3Pd6
Source: the Alexandria database
Functional: PBE
Structure: relaxed

```
HfSb3Pd6
1.0
9.070 0.000 0.000
0.000 3.844 0.000
-2.341 0.000 10.923
Hf Sb Pd
2 6 12
Cartesian
-0.292 0.961 2.462
7.021 2.883 8.461
-0.256 0.961 6.514
0.389 2.883 10.164
2.830 0.961 3.401
3.899 2.883 7.522
6.340 0.961 0.759
6.985 2.883 4.410
-1.415 0.961 10.614
0.632 2.883 4.449
1.556 2.883 1.795
1.154 2.883 7.639
2.465 0.961 6.002
3.710 0.961 0.857
3.019 2.883 10.066
4.264 2.883 4.921
5.575 0.961 3.284
5.173 0.961 9.128
6.097 0.961 6.474
8.144 2.883 0.309
```

Compound: Hf6Sb3Pd
Source: the Alexandria database
Functional: PBE
Structure: relaxed

```
Hf6Sb3Pd
1.0
5.368 -6.845 0.000
5.368 6.845 0.000
0.000 0.000 6.275
Hf Sb Pd
12 6 2
Cartesian
3.053 3.161 4.090
5.368 5.539 3.137
5.368 3.537 6.125
3.682 1.020 0.313
3.682 -1.020 3.451
7.683 3.161 4.090
3.053 -3.161 0.952
7.054 1.020 0.313
7.054 -1.020 3.451
5.368 -3.537 2.988
5.368 -5.539 0.000
7.683 -3.161 0.952
1.767 1.019 2.469
1.767 -1.019 5.606
5.368 1.187 4.260
5.368 -1.187 1.123
8.969 1.019 2.469
8.969 -1.019 5.606
5.368 3.034 2.365
5.368 -3.034 5.502
```

Compound: HfSb2Pd9
Source: the Alexandria database
Functional: PBE
Structure: relaxed

```
HfSb2Pd9
1.0
4.045 0.000 0.000
0.000 4.045 0.000
0.000 0.000 12.111
Hf Sb Pd
1 2 9
Cartesian
0.000 0.000 0.000
0.000 0.000 4.044
0.000 0.000 8.066
0.000 2.022 1.960
0.000 2.022 6.055
0.000 2.022 10.151
2.022 0.000 1.960
2.022 0.000 6.055
2.022 0.000 10.151
2.022 2.022 0.000
2.022 2.022 4.019
2.022 2.022 8.091
```

Compound: Hf2SbPd
Source: the Alexandria database
Functional: PBE
Structure: relaxed

```
Hf2SbPd
1.0
4.189 0.000 0.000
-2.095 3.628 0.000
0.000 0.000 6.005
Hf Sb Pd
2 1 1
Cartesian
0.000 2.419 1.265
2.095 1.209 4.740
0.000 0.000 3.002
0.000 0.000 0.000
```

Computed E (eV per atom) in order:
-6.249; -6.001; -5.684; -6.563; -5.836; -8.031; -5.949; -7.641
Computed volume (Å³/f.u.) in order:
120; 247; 332; 243; 190; 231; 198; 91